[1]
HgPdO3 | the Open Quantum Materials Database | PBE-GGA | optimized geometry; uncorrected energy = -4.26 eV per atom; SG = Pnma, No. 62
1.0
5.486 0.000 0.000
0.000 5.599 0.000
0.000 0.000 7.840
Hg O Pd
4 12 4
Cartesian
5.422 0.204 1.960 Hg
2.808 3.003 1.960 Hg
2.679 2.595 5.880 Hg
0.065 5.395 5.880 Hg
3.939 1.562 0.541 O
4.291 4.361 0.541 O
0.623 2.494 1.960 O
2.121 5.293 1.960 O
3.939 1.562 3.379 O
4.291 4.361 3.379 O
1.195 1.237 4.461 O
1.548 4.036 4.461 O
3.366 0.305 5.880 O
4.864 3.105 5.880 O
1.195 1.237 7.299 O
1.548 4.036 7.299 O
2.743 0.000 0.000 Pd
0.000 2.799 0.000 Pd
2.743 0.000 3.920 Pd
0.000 2.799 3.920 Pd

---

[2]
Co2NiS4 | the Open Quantum Materials Database | PBE-GGA | optimized geometry; uncorrected energy = -5.59 eV per atom; SG = P4_122, No. 91; size of the total moment = 0.0 μB per cell
1.0
-3.916 -5.261 0.564
5.219 -3.956 -0.663
1.229 0.075 9.227
Co Ni S
8 4 16
Cartesian
1.959 -5.599 -0.215 Co
-1.477 -4.925 1.411 Co
1.939 -3.272 2.116 Co
1.439 -6.883 3.386 Co
-0.040 -3.580 4.730 Co
3.703 -4.235 5.411 Co
0.593 -5.869 7.013 Co
1.401 -2.239 8.049 Co
3.914 -2.966 -0.497 Ni
-0.672 -1.297 2.448 Ni
1.920 -0.952 4.448 Ni
-2.015 -3.889 7.344 Ni
4.162 -5.241 -0.462 S
1.691 -3.365 -0.122 S
2.282 -5.495 2.013 S
4.142 -3.001 1.771 S
1.589 -1.055 2.194 S
-0.264 -3.550 2.488 S
2.152 -3.228 4.359 S
-0.319 -1.352 4.700 S
-2.231 -3.937 5.074 S
0.247 -5.812 4.786 S
0.231 -3.647 6.967 S
-1.622 -6.141 7.260 S
0.957 -8.085 7.032 S
2.816 -5.590 6.790 S
0.975 -5.877 9.234 S
3.453 -7.752 8.946 S

---

[3]
Lu4SiAsC2 | the Open Quantum Materials Database | PBE-GGA | optimized geometry; uncorrected energy = -6.44 eV per atom; SG = P-6m2, No. 187; size of the total moment = 0.0 μB per cell
1.0
3.516 0.000 0.000
-1.758 3.045 0.000
0.000 0.000 14.082
As C Lu Si
1 2 4 1
Cartesian
0.000 0.000 0.000 As
0.000 2.030 3.463 C
0.000 2.030 10.619 C
1.758 1.015 2.168 Lu
0.000 0.000 4.780 Lu
0.000 0.000 9.302 Lu
1.758 1.015 11.914 Lu
1.758 1.015 7.041 Si

---

[4]
Zr4Nb2Zn3C3 | the Open Quantum Materials Database | PBE-GGA | optimized geometry; uncorrected energy = -7.65 eV per atom; SG = C2/c, No. 15; size of the total moment = 0.0 μB per cell
1.0
4.920 -2.841 0.000
4.920 2.841 0.000
-3.413 0.000 13.948
C Nb Zn Zr
6 4 6 8
Cartesian
4.107 -1.409 0.000 C
2.460 1.421 0.000 C
5.733 1.409 0.000 C
2.401 1.409 6.974 C
0.754 -1.421 6.974 C
4.026 -1.409 6.974 C
4.075 0.487 1.084 Nb
4.058 0.487 5.890 Nb
2.369 -0.487 8.058 Nb
2.352 -0.487 12.864 Nb
5.403 -0.308 3.475 Zn
4.067 2.014 3.487 Zn
2.730 -0.308 3.499 Zn
3.697 0.308 10.449 Zn
2.360 -2.014 10.461 Zn
1.024 0.308 10.473 Zn
7.406 0.490 1.333 Zr
0.822 0.444 1.333 Zr
7.311 0.444 5.641 Zr
0.727 0.490 5.641 Zr
5.700 -0.490 8.307 Zr
-0.885 -0.444 8.307 Zr
5.605 -0.444 12.615 Zr
-0.980 -0.490 12.615 Zr

---

[5]
MgBeGaCu | the Open Quantum Materials Database | PBE-GGA | optimized geometry; SG = F-43m, No. 216; energy above the most stable polymorph in this dataset = 0.0 kJ per mole of atoms
1.0
0.000 3.016 3.016
3.016 0.000 3.016
3.016 3.016 0.000
Be Cu Ga Mg
1 1 1 1
Cartesian
4.524 4.524 4.524 Be
1.508 1.508 1.508 Cu
0.000 0.000 0.000 Ga
3.016 3.016 3.016 Mg

---

[6]
LaHfMgCo | the Open Quantum Materials Database | PBE-GGA | optimized geometry; SG = F-43m, No. 216; size of the total moment = 0.0 μB per cell; energy above the most stable polymorph in this dataset = 13.5 kJ per mole of atoms
1.0
4.223 1.907 1.427
0.377 2.055 4.375
2.586 -2.168 3.482
Co Hf La Mg
1 1 1 1
Cartesian
3.593 0.897 4.642 Co
0.000 0.000 0.000 Hf
1.796 0.449 2.321 La
5.389 1.346 6.963 Mg

---

[7]
SrCo3C | the Open Quantum Materials Database | PBE-GGA | optimized geometry; uncorrected energy = -6.09 eV per atom; SG = Pm-3m, No. 221; size of the total moment = 1.0 μB per cell
1.0
3.986 0.000 0.000
0.000 3.986 0.000
0.000 0.000 3.986
C Co Sr
1 3 1
Cartesian
1.993 1.993 1.993 C
1.993 1.993 0.000 Co
1.993 0.000 1.993 Co
0.000 1.993 1.993 Co
0.000 0.000 0.000 Sr

---

[8]
ThB | the Open Quantum Materials Database | PBE-GGA | optimized geometry; SG = Fm-3m, No. 225; size of the total moment = 0.0 μB per cell; energy above the most stable polymorph in this dataset = 0.0 kJ per mole of atoms
1.0
-3.066 -1.978 1.333
-3.457 1.746 0.300
-2.883 -0.972 -2.415
B Th
1 1
Cartesian
0.000 0.000 0.000 B
-4.703 -0.602 -0.392 Th

---

[9]
SmPuPt | the Open Quantum Materials Database | PBE-GGA | optimized geometry; SG = F-43m, No. 216; calculated formation energy = -0.6233 eV per atom; size of the total moment = 6.4 μB per cell; energy above the most stable polymorph in this dataset = 0.0 kJ per mole of atoms
1.0
0.820 -4.643 1.390
2.591 -0.925 4.074
-2.244 -1.806 3.983
Pt Pu Sm
1 1 1
Cartesian
0.000 0.000 0.000 Pt
0.292 -1.843 2.362 Pu
0.875 -5.530 7.085 Sm

---

[10]
NaNbCuTe3 | the Open Quantum Materials Database | PBE-GGA | optimized geometry; SG = P2_1/m, No. 11; size of the total moment = 1.4 μB per cell; energy above the most stable polymorph in this dataset = 0.0 kJ per mole of atoms
1.0
-2.066 2.957 7.405
-3.665 0.480 -1.214
-1.307 -10.144 -0.062
Cu Na Nb Te
2 2 2 6
Cartesian
-3.043 -0.462 -0.346 Cu
-3.995 -6.245 6.474 Cu
-2.688 0.195 5.076 Na
-4.349 -6.903 1.052 Na
-1.940 -2.288 1.837 Nb
-5.098 -4.420 4.292 Nb
-1.516 0.437 1.633 Te
-3.336 -3.040 -0.480 Te
-4.406 -1.786 3.245 Te
-2.632 -4.922 2.884 Te
-3.702 -3.668 6.608 Te
-5.522 -7.144 4.496 Te

---

[11]
TaTc | the Open Quantum Materials Database | PBE-GGA | optimized geometry; SG = Fm-3m, No. 225; calculated formation energy = 0.6798 eV per atom; size of the total moment = 0.0 μB per cell
1.0
-2.965 -2.193 -0.371
-1.451 -1.673 2.972
-3.288 1.090 1.319
Ta Tc
1 1
Cartesian
0.000 0.000 0.000 Ta
-3.852 -1.388 1.960 Tc

---

[12]
KNaTcSe3 | the Open Quantum Materials Database | PBE-GGA | optimized geometry; uncorrected energy = -4.48 eV per atom; SG = Pnma, No. 62; size of the total moment = 1.9 μB per cell
1.0
15.509 0.000 0.000
0.000 3.741 0.000
0.000 0.000 10.147
K Na Se Tc
4 4 12 4
Cartesian
1.864 0.935 0.067 K
9.618 0.935 5.006 K
5.890 2.806 5.141 K
13.645 2.806 10.080 K
10.793 2.806 1.986 Na
3.039 2.806 3.087 Na
12.470 0.935 7.060 Na
4.715 0.935 8.161 Na
9.490 0.935 0.031 Se
0.327 2.806 2.351 Se
12.824 0.935 2.524 Se
5.070 0.935 2.549 Se
8.081 2.806 2.723 Se
1.736 0.935 5.042 Se
13.772 2.806 5.105 Se
7.427 0.935 7.424 Se
10.438 2.806 7.598 Se
2.684 2.806 7.623 Se
15.181 0.935 7.796 Se
6.018 2.806 10.116 Se
7.279 0.935 1.031 Tc
15.033 0.935 4.043 Tc
0.476 2.806 6.104 Tc
8.230 2.806 9.116 Tc

---

[13]
Cd2AgMo | the Open Quantum Materials Database | PBE-GGA | optimized geometry; SG = F-43m, No. 216; calculated formation energy = 0.5181 eV per atom; size of the total moment = 2.4 μB per cell
1.0
-4.372 -1.608 0.889
-3.708 2.946 -0.260
-3.131 -0.435 -3.535
Ag Cd Mo
1 2 1
Cartesian
-8.409 0.677 -2.179 Ag
-2.803 0.226 -0.726 Cd
-5.606 0.452 -1.453 Cd
0.000 0.000 0.000 Mo

---

[14]
Sc2Os2Cl | the Open Quantum Materials Database | PBE-GGA | optimized geometry; uncorrected energy = -7.06 eV per atom; SG = I4/mmm, No. 139; size of the total moment = 0.0 μB per cell
1.0
-2.345 2.345 3.983
2.345 -2.345 3.983
2.345 2.345 -3.983
Cl Os Sc
1 2 2
Cartesian
0.000 0.000 0.000 Cl
0.000 2.345 0.000 Os
2.345 0.000 0.000 Os
0.000 0.000 2.388 Sc
0.000 0.000 5.578 Sc

---

[15]
Hf6TcSb2 | the Open Quantum Materials Database | PBE-GGA | optimized geometry; uncorrected energy = -9.13 eV per atom; SG = P-62m, No. 189; size of the total moment = 0.4 μB per cell
1.0
7.834 0.000 0.000
-3.917 6.784 0.000
0.000 0.000 3.597
Hf Sb Tc
6 2 1
Cartesian
4.732 0.000 0.000 Hf
1.551 2.687 0.000 Hf
-2.366 4.098 0.000 Hf
1.961 0.000 1.798 Hf
-0.980 1.698 1.798 Hf
2.937 5.086 1.798 Hf
3.917 2.261 1.798 Sb
0.000 4.523 1.798 Sb
0.000 0.000 0.000 Tc

---

[16]
LuSc2Ir | the Open Quantum Materials Database | PBE-GGA | optimized geometry; SG = F-43m, No. 216; calculated formation energy = -0.3762 eV per atom; size of the total moment = 0.5 μB per cell
1.0
0.000 3.420 3.420
3.420 0.000 3.420
3.420 3.420 0.000
Ir Lu Sc
1 1 2
Cartesian
3.420 3.420 3.420 Ir
5.130 5.130 5.130 Lu
0.000 0.000 0.000 Sc
1.710 1.710 1.710 Sc

---

[17]
In2Au | the Open Quantum Materials Database | PBE-GGA | optimized geometry; uncorrected energy = -3.14 eV per atom; SG = I4/mmm, No. 139
1.0
-3.558 -5.291 -1.724
-1.639 -0.959 6.326
-5.335 3.848 -0.799
Au In
4 8
Cartesian
0.000 0.000 0.000 Au
-2.599 -3.125 2.301 Au
-4.447 -0.721 -1.262 Au
-3.487 1.445 2.764 Au
-4.412 -3.246 0.089 In
-3.453 -1.080 4.113 In
-2.633 -0.600 0.950 In
-5.233 -3.726 3.252 In
-7.080 -1.322 -0.311 In
-6.120 0.844 3.715 In
-5.301 1.324 0.551 In
-7.899 -1.801 2.852 In

---

[18]
ZrZnAgPt | the Open Quantum Materials Database | PBE-GGA | optimized geometry; SG = F-43m, No. 216; calculated formation energy = -0.4299 eV per atom; size of the total moment = 0.0 μB per cell; energy above the most stable polymorph in this dataset = 5.0 kJ per mole of atoms
1.0
0.000 3.270 3.270
3.270 0.000 3.270
3.270 3.270 0.000
Ag Pt Zn Zr
1 1 1 1
Cartesian
1.635 1.635 1.635 Ag
0.000 0.000 0.000 Pt
3.270 3.270 3.270 Zn
4.905 4.905 4.905 Zr

---

[19]
RbTbSm | the Open Quantum Materials Database | PBE-GGA | optimized geometry; uncorrected energy = -2.20 eV per atom; SG = F-43m, No. 216; size of the total moment = 1.2 μB per cell
1.0
0.000 4.243 4.243
4.243 0.000 4.243
4.243 4.243 0.000
Rb Sm Tb
1 1 1
Cartesian
2.121 2.121 2.121 Rb
0.000 0.000 0.000 Sm
6.365 6.365 6.365 Tb

---

[20]
LaZnNO | the Open Quantum Materials Database | PBE-GGA | optimized geometry; SG = P4/nmm, No. 129; size of the total moment = 0.0 μB per cell; energy above the most stable polymorph in this dataset = 0.0 kJ per mole of atoms
1.0
3.785 0.000 0.000
0.000 3.785 0.000
0.000 0.000 8.123
La N O Zn
2 2 2 2
Cartesian
0.946 0.946 1.335 La
2.839 2.839 6.787 La
2.839 2.839 2.996 N
0.946 0.946 5.127 N
2.839 0.946 0.000 O
0.946 2.839 0.000 O
2.839 0.946 4.061 Zn
0.946 2.839 4.061 Zn